[1]
A relaxed Zr2BeCu crystal. Source: Alexandria, functional GGA-PBE.

Values from the calculation:
Formation enthalpy at 0 K ... -0.2 eV per formula unit
ρ ... 6.309 g/cm³
Total magnetization ... 0.0 μB/f.u.

Structure (CIF):
```
data_Zr2BeCu
_chemical_formula_sum 'Zr4 Be2 Cu2'
_cell_length_a 3.194
_cell_length_b 4.404
_cell_length_c 9.542
_cell_angle_alpha 90.00
_cell_angle_beta 90.00
_cell_angle_gamma 90.00
_symmetry_space_group_name_H-M 'I m m 2'
_symmetry_Int_Tables_number 44
loop_
_symmetry_equiv_pos_as_xyz
'x,y,z'
'-x,-y,z'
'-x,y,z'
'x,-y,z'
'x+1/2,y+1/2,z+1/2'
'-x+1/2,-y+1/2,z+1/2'
'-x+1/2,y+1/2,z+1/2'
'x+1/2,-y+1/2,z+1/2'
loop_
_atom_site_label
_atom_site_type_symbol
_atom_site_fract_x
_atom_site_fract_y
_atom_site_fract_z
_atom_site_occupancy
Zr1 Zr 0.000 0.000 0.000 1
Zr2 Zr 0.000 0.500 0.228 1
Be1 Be 0.000 0.500 0.776 1
Cu1 Cu 0.000 0.000 0.447 1
```

[2]
A relaxed ZrBe2Cu crystal. Source: Alexandria, functional GGA-PBE.

Values from the calculation:
Formation enthalpy at 0 K ... -0.4 eV per formula unit
ρ ... 5.395 g/cm³
Total magnetization ... 0.0 μB/f.u.

Structure (CIF):
```
data_ZrBe2Cu
_chemical_formula_sum 'Zr2 Be4 Cu2'
_cell_length_a 6.427
_cell_length_b 3.726
_cell_length_c 4.939
_cell_angle_alpha 90.00
_cell_angle_beta 115.94
_cell_angle_gamma 90.00
_symmetry_space_group_name_H-M 'C 1 m 1'
_symmetry_Int_Tables_number 8
loop_
_symmetry_equiv_pos_as_xyz
'x,y,z'
'x,-y,z'
'x+1/2,y+1/2,z'
'x+1/2,-y+1/2,z'
loop_
_atom_site_label
_atom_site_type_symbol
_atom_site_fract_x
_atom_site_fract_y
_atom_site_fract_z
_atom_site_occupancy
Zr1 Zr 0.000 0.000 0.000 1
Be1 Be 0.295 0.500 0.384 1
Be2 Be 0.492 0.000 0.475 1
Cu1 Cu 0.204 0.000 0.611 1
```

[3]
A relaxed Zr4BeCu crystal. Source: Alexandria, functional GGA-PBE.

Values from the calculation:
Formation enthalpy at 0 K ... -0.5 eV per formula unit
ρ ... 6.474 g/cm³
Total magnetization ... 0.0 μB/f.u.

Structure (CIF):
```
data_Zr4BeCu
_chemical_formula_sum 'Zr8 Be2 Cu2'
_cell_length_a 6.785
_cell_length_b 6.785
_cell_length_c 4.875
_cell_angle_alpha 90.00
_cell_angle_beta 90.00
_cell_angle_gamma 90.00
_symmetry_space_group_name_H-M 'P 4/m c c'
_symmetry_Int_Tables_number 124
_symmetry_space_group_name_Hall '-P 4 2c'
loop_
_atom_site_label
_atom_site_type_symbol
_atom_site_fract_x
_atom_site_fract_y
_atom_site_fract_z
_atom_site_occupancy
Zr1 Zr 0.152 0.336 0.000 1
Be1 Be 0.000 0.000 0.250 1
Cu1 Cu 0.500 0.500 0.250 1
```

[4]
A relaxed ZrBeCu2 crystal. Source: Alexandria, functional GGA-PBE.

Values from the calculation:
Formation enthalpy at 0 K ... 1.2 eV per formula unit
ρ ... 6.427 g/cm³
Total magnetization ... 0.0 μB/f.u.

Structure (CIF):
```
data_ZrBeCu2
_chemical_formula_sum 'Zr2 Be2 Cu4'
_cell_length_a 5.415
_cell_length_b 8.816
_cell_length_c 2.627
_cell_angle_alpha 90.00
_cell_angle_beta 110.48
_cell_angle_gamma 90.00
_symmetry_space_group_name_H-M 'C 1 2/m 1'
_symmetry_Int_Tables_number 12
loop_
_symmetry_equiv_pos_as_xyz
'x,y,z'
'-x,-y,-z'
'-x,y,-z'
'x,-y,z'
'x+1/2,y+1/2,z'
'-x+1/2,-y+1/2,-z'
'-x+1/2,y+1/2,-z'
'x+1/2,-y+1/2,z'
loop_
_atom_site_label
_atom_site_type_symbol
_atom_site_fract_x
_atom_site_fract_y
_atom_site_fract_z
_atom_site_occupancy
Zr1 Zr 0.000 0.000 0.000 1
Be1 Be 0.000 0.500 0.000 1
Cu1 Cu 0.250 0.250 0.500 1
```